# NaBeV2O6

An optimized crystal structure of NaBeV2O6 (PBE+U, Alexandria).

Cell and atoms, written as POSCAR:
```
NaBeV2O6
1.0
5.7744 0.1898 0.1970
2.0820 7.0984 -0.2482
2.0820 -0.5111 7.0843
Na Be V O
2 2 4 12
direct
0.2500 0.8772 0.1228
0.7500 0.1228 0.8772
0.2500 0.2025 0.7975
0.7500 0.7975 0.2025
0.3398 0.7880 0.6083
0.1602 0.3917 0.2120
0.6602 0.2120 0.3917
0.8398 0.6083 0.7880
0.2023 0.9964 0.7726
0.2977 0.2274 0.0036
0.7977 0.0036 0.2274
0.7023 0.7726 0.9964
0.4801 0.8098 0.3690
0.0199 0.6310 0.1902
0.5199 0.1902 0.6310
0.9801 0.3690 0.8098
0.0793 0.6934 0.6303
0.4207 0.3697 0.3066
0.9207 0.3066 0.3697
0.5793 0.6303 0.6934
```

Calculated values
As for the uncorrected energy: -7.02 eV per atom. The crystal system is monoclinic. The calculation puts the total magnetic moment at 0.100 μB per atom. For the density of states at the Fermi level, the calculation gives 1.51 states/eV/f.u.